# 1
## AlSnSb2Os (GGA-PBE)

Data for a geometry-optimized AlSnSb2Os structure.

Results
formation energy from raw total energies = 3.28 eV/f.u.

Lattice parameters (Å, degrees): 5.1858 5.1858 5.1410 90.00 90.00 90.00
Closest atoms and distances in Å follow each position.
Space group P4/mmm (No. 123)
Symmetry-distinct sites (fractional):
Al 0.0000 0.0000 0.0000 [1 per cell]  8 Sb 3.65, 4 Sn 3.67
Sn 0.5000 0.5000 0.0000 [1 per cell]  2 Os 2.57
Sb 0.0000 0.5000 0.5000 [2 per cell]  2 Os 2.59
Os 0.5000 0.5000 0.5000 [1 per cell]  2 Sn 2.57, 4 Sb 2.59

# 2
## Nd12Ho5In2 (GGA-PBE)

Data for a geometry-optimized Nd12Ho5In2 structure.

Results
formation energy = -0.0120 eV per atom

Lattice parameters (Å, degrees): 15.5529 9.3690 8.6520 90.00 93.33 90.00
Closest atoms and distances in Å follow each position.
Space group C2/m (No. 12)
Symmetry-distinct sites (fractional):
Nd 0.0575 0.0000 0.3240 [4 per cell]  2 In 3.32, 2 Ho 3.33-3.48, 7 Nd 3.37-3.62
Nd 0.0820 0.5000 0.8850 [4 per cell]  5 Nd 3.32-3.59, 2 In 3.47, 3 Ho 3.50-3.64
Nd 0.1244 0.1951 0.6637 [8 per cell]  5 Nd 3.37-3.66, 4 Ho 3.40-3.69, 1 In 3.59
Nd 0.1488 0.3145 0.2342 [8 per cell]  1 In 3.26, 4 Nd 3.38-3.59, 2 Ho 3.59-3.65
Ho 0.0000 0.5000 0.5000 [2 per cell]  10 Nd 3.50-3.78, 2 Ho 3.63
Ho 0.1881 0.0000 0.0115 [4 per cell]  2 In 3.35, 6 Nd 3.48-3.64, 1 Ho 3.66
Ho 0.2316 0.5000 0.5825 [4 per cell]  8 Nd 3.33-3.67, 2 Ho 3.63-3.66
In 0.0000 0.1745 0.0000 [4 per cell]  8 Nd 3.26-3.59, 1 In 3.27, 2 Ho 3.35